{"formula": "Tb8Nd2Tm", "functional": "GGA-PBE", "state": "relaxed", "e_form_ev_per_atom": 0.0183, "lattice_angstrom": [[4.8841, 0.0000, -1.3007], [-0.5257, 7.7360, -1.9740], [-0.0964, -0.0843, 9.4583]], "species": ["Tb", "Tb", "Tb", "Nd", "Tb", "Tb", "Nd", "Tb", "Tb", "Tm", "Tb"], "fractional_positions": [[0.0446, 0.7281, 0.0892], [0.9554, 0.2719, 0.9108], [0.8652, 0.8221, 0.7303], [0.2267, 0.6373, 0.4535], [0.5897, 0.4524, 0.1793], [0.1348, 0.1779, 0.2697], [0.7733, 0.3627, 0.5465], [0.6809, 0.9085, 0.3619], [0.3191, 0.0915, 0.6381], [0.5000, 0.0000, 0.0000], [0.4103, 0.5476, 0.8207]]}

---

{"formula": "LiLa5Al4", "functional": "GGA-PBE", "state": "relaxed", "e_form_ev_per_atom": -0.2851, "lattice_angstrom": [[3.7980, 0.0000, 0.0000], [0.0000, 3.7980, 0.0000], [0.0000, 0.0000, 19.4012]], "species": ["Al", "La", "La", "Al", "Al", "Li", "La", "La", "Al", "La"], "fractional_positions": [[0.0000, 0.0000, 0.2042], [0.5000, 0.5000, 0.5000], [0.5000, 0.5000, 0.6951], [0.0000, 0.0000, 0.4024], [0.0000, 0.0000, 0.7958], [0.0000, 0.0000, 0.0000], [0.5000, 0.5000, 0.3049], [0.5000, 0.5000, 0.8878], [0.0000, 0.0000, 0.5976], [0.5000, 0.5000, 0.1122]]}

---

These records have E values of -4.6225, -4.4373 eV per atom, in the order they appear.
These records have M_tot values of 0.0000, 0.0000 μB per atom, in the order they appear.